Entry 1:
Computed, not measured: ZnSi after structural relaxation at the PBE-GGA level of DFT.

The calculation puts the energy at -3.013 eV/atom.

It has space group P-6m2 (No. 187), with a = 2.6831 Å, b = 2.6831 Å, c = 4.9078 Å, α = 90.00°, β = 90.00° and γ = 120.00°. The inequivalent atoms are Zn at (0.0000, 0.0000, 0.0000) and Si at (0.3333, 0.6667, 0.5000).

Entry 2:
Computed, not measured: ZrZnSi2 after structural relaxation at the PBE-GGA level of DFT.

The calculation puts the energy at -4.960 eV/atom. Its total magnetization is 0.04 Bohr magnetons per cell.

It has space group F-43m (No. 216), with a = 6.4794 Å, b = 6.4794 Å, c = 6.4794 Å, α = 90.00°, β = 90.00° and γ = 90.00°. The inequivalent atoms are Zr at (0.0000, 0.0000, 0.0000), Zn at (0.2500, 0.2500, 0.7500), Si at (0.0000, 0.0000, 0.5000) and Si at (0.2500, 0.2500, 0.2500).

Entry 3:
Computed, not measured: ZrZnSi2 after structural relaxation at the PBE-GGA level of DFT.

The calculation puts the energy at -4.960 eV/atom. Its total magnetization is 0.04 Bohr magnetons per cell.

It has space group F-43m (No. 216), with a = 6.4794 Å, b = 6.4794 Å, c = 6.4794 Å, α = 90.00°, β = 90.00° and γ = 90.00°. The inequivalent atoms are Zr at (0.0000, 0.0000, 0.0000), Zn at (0.2500, 0.2500, 0.2500), Si at (0.0000, 0.0000, 0.5000) and Si at (0.2500, 0.2500, 0.7500).

Entry 4:
Computed, not measured: Zr3Si2 after structural relaxation at the PBE-GGA level of DFT.

The calculation puts the energy at -8.183 eV/atom. Its total magnetization is 0.03 Bohr magnetons per cell.

It has space group P4/mbm (No. 127), with a = 7.1214 Å, b = 7.1214 Å, c = 3.7017 Å, α = 90.00°, β = 90.00° and γ = 90.00°. The inequivalent atoms are Zr at (0.0000, 0.0000, 0.0000), Zr at (0.1741, 0.3259, 0.5000) and Si at (0.1223, 0.6223, 0.0000).

Entry 5:
Computed, not measured: ZrSi2 after structural relaxation at the PBE-GGA level of DFT.

The calculation puts the energy at -6.701 eV/atom. Its total magnetization is 0.01 Bohr magnetons per cell.

It has space group Fd-3m (No. 227, origin choice 2), with a = 7.1997 Å, b = 7.1997 Å, c = 7.1997 Å, α = 90.00°, β = 90.00° and γ = 90.00°. The inequivalent atoms are Zr at (0.1250, 0.1250, 0.1250) and Si at (0.0000, 0.0000, 0.5000).

Entry 6:
Computed, not measured: ZrSi2 after structural relaxation at the PBE-GGA level of DFT.

The calculation puts the energy at -6.940 eV/atom. Its total magnetization is 0.01 Bohr magnetons per cell.

It has space group Cmcm (No. 63), with a = 3.6286 Å, b = 15.1193 Å, c = 3.6398 Å, α = 90.00°, β = 90.00° and γ = 90.00°. The inequivalent atoms are Zr at (0.0000, 0.1058, 0.2500), Si at (0.0000, 0.2886, 0.2500) and Si at (0.0000, 0.4504, 0.2500).

Entry 7:
Computed, not measured: Zr5Si4 after structural relaxation at the PBE-GGA level of DFT.

The calculation puts the energy at -8.064 eV/atom. Its total magnetization is 0.01 Bohr magnetons per cell.

It has space group P4_12_12 (No. 92), with a = 7.1548 Å, b = 7.1548 Å, c = 13.0694 Å, α = 90.00°, β = 90.00° and γ = 90.00°. The inequivalent atoms are Zr at (0.0011, 0.1459, 0.1267), Zr at (0.0012, 0.3497, 0.5351), Zr at (0.1750, 0.8250, 0.2500), Si at (0.0502, 0.6988, 0.4379) and Si at (0.1468, 0.2052, 0.3227).

Entry 8:
Computed, not measured: ZrSi2 after structural relaxation at the PBE-GGA level of DFT.

The calculation puts the energy at -6.247 eV/atom. Its total magnetization is 0.00 Bohr magnetons per cell.

It has space group Fm-3m (No. 225), with a = 6.2956 Å, b = 6.2956 Å, c = 6.2956 Å, α = 90.00°, β = 90.00° and γ = 90.00°. The inequivalent atoms are Zr at (0.0000, 0.0000, 0.0000) and Si at (0.2500, 0.2500, 0.2500).

Entry 9:
Computed, not measured: Sm after structural relaxation at the PBE-GGA level of DFT.

For the formation energy, the calculation gives 224 meV/atom. Its total magnetization is 0.17 Bohr magnetons per cell. For the distance to the lowest polymorph of the same formula, the calculation gives 0.224 eV/atom.

It has space group Pm-3n (No. 223), with a = 6.4354 Å, b = 6.4354 Å, c = 6.4354 Å, α = 90.00°, β = 90.00° and γ = 90.00°. The inequivalent atoms are Sm at (0.0000, 0.0000, 0.0000) and Sm at (0.0000, 0.2500, 0.5000).

Entry 10:
Computed, not measured: Sm after structural relaxation at the PBE-GGA level of DFT.

For the formation energy, the calculation gives 137 meV/atom. Its total magnetization is 0.89 Bohr magnetons per cell. For the distance to the lowest polymorph of the same formula, the calculation gives 0.137 eV/atom.

It has space group Im-3m (No. 229), with a = 4.0675 Å, b = 4.0675 Å, c = 4.0675 Å, α = 90.00°, β = 90.00° and γ = 90.00°. The inequivalent atoms are Sm at (0.0000, 0.0000, 0.0000).

Entry 11:
Computed, not measured: Sm after structural relaxation at the PBE-GGA level of DFT.

For the formation energy, the calculation gives 6 meV/atom. Its total magnetization is 0.01 Bohr magnetons per cell. For the distance to the lowest polymorph of the same formula, the calculation gives 0.006 eV/atom.

It has space group I4/mmm (No. 139), with a = 3.6036 Å, b = 3.6036 Å, c = 5.1630 Å, α = 90.00°, β = 90.00° and γ = 90.00°. The inequivalent atoms are Sm at (0.0000, 0.0000, 0.0000).

Entry 12:
Computed, not measured: Sm after structural relaxation at the PBE-GGA level of DFT.

For the formation energy, the calculation gives 161 meV/atom. Its total magnetization is 0.10 Bohr magnetons per cell. For the distance to the lowest polymorph of the same formula, the calculation gives 0.161 eV/atom.

It has space group P4_132 (No. 213), with a = 8.7779 Å, b = 8.7779 Å, c = 8.7779 Å, α = 90.00°, β = 90.00° and γ = 90.00°. The inequivalent atoms are Sm at (0.0441, 0.1250, 0.7941) and Sm at (0.0616, 0.9384, 0.4384).

Entry 13:
Computed, not measured: Sm after structural relaxation at the PBE-GGA level of DFT.

For the formation energy, the calculation gives 15 meV/atom. Its total magnetization is 0.01 Bohr magnetons per cell. For the distance to the lowest polymorph of the same formula, the calculation gives 0.015 eV/atom.

It has space group R-3m (No. 166, hexagonal axes), with a = 3.6471 Å, b = 3.6471 Å, c = 8.5846 Å, α = 90.00°, β = 90.00° and γ = 120.00°. The inequivalent atoms are Sm at (0.0000, 0.0000, 0.0000).

Entry 14:
Computed, not measured: Sm after structural relaxation at the PBE-GGA level of DFT.

For the formation energy, the calculation gives 3 meV/atom. Its total magnetization is 0.81 Bohr magnetons per cell. For the distance to the lowest polymorph of the same formula, the calculation gives 0.003 eV/atom.

It has space group P6_3/mmc (No. 194), with a = 3.6320 Å, b = 3.6320 Å, c = 11.6975 Å, α = 90.00°, β = 90.00° and γ = 120.00°. The inequivalent atoms are Sm at (0.0000, 0.0000, 0.0000) and Sm at (0.3333, 0.6667, 0.2500).

Entry 15:
Computed, not measured: Sm after structural relaxation at the PBE-GGA level of DFT.

For the formation energy, the calculation gives 22 meV/atom. Its total magnetization is 0.01 Bohr magnetons per cell. For the distance to the lowest polymorph of the same formula, the calculation gives 0.022 eV/atom.

It has space group Cmcm (No. 63), with a = 3.6139 Å, b = 6.3851 Å, c = 5.8190 Å, α = 90.00°, β = 90.00° and γ = 90.00°. The inequivalent atoms are Sm at (0.0000, 0.1635, 0.2500).

Entry 16:
Computed, not measured: Sm after structural relaxation at the PBE-GGA level of DFT.

For the formation energy, the calculation gives 6 meV/atom. Its total magnetization is 0.00 Bohr magnetons per cell. For the distance to the lowest polymorph of the same formula, the calculation gives 0.006 eV/atom.

It has space group Fm-3m (No. 225), with a = 5.1145 Å, b = 5.1145 Å, c = 5.1145 Å, α = 90.00°, β = 90.00° and γ = 90.00°. The inequivalent atoms are Sm at (0.0000, 0.0000, 0.0000).

Entry 17:
Computed, not measured: Sm after structural relaxation at the PBE-GGA level of DFT.

For the formation energy, the calculation gives 176 meV/atom. Its total magnetization is 0.03 Bohr magnetons per cell. For the distance to the lowest polymorph of the same formula, the calculation gives 0.176 eV/atom.

It has space group Cmce (No. 64), with a = 5.9227 Å, b = 12.4936 Å, c = 3.6724 Å, α = 90.00°, β = 90.00° and γ = 90.00°. The inequivalent atoms are Sm at (0.0000, 0.1359, 0.0304).

Entry 18:
Computed, not measured: Sm after structural relaxation at the PBE-GGA level of DFT.

For the formation energy, the calculation gives 781 meV/atom. Its total magnetization is 0.02 Bohr magnetons per cell. For the distance to the lowest polymorph of the same formula, the calculation gives 0.781 eV/atom.

It has space group P6_3/mmc (No. 194), with a = 5.5732 Å, b = 5.5732 Å, c = 5.5292 Å, α = 90.00°, β = 90.00° and γ = 120.00°. The inequivalent atoms are Sm at (0.0000, 0.0000, 0.2500) and Sm at (0.3333, 0.6667, 0.2500).

Entry 19:
Computed, not measured: Sm after structural relaxation at the PBE-GGA level of DFT.

For the formation energy, the calculation gives 404 meV/atom. Its total magnetization is 0.06 Bohr magnetons per cell. For the distance to the lowest polymorph of the same formula, the calculation gives 0.404 eV/atom.

It has space group I4_1/amd (No. 141, origin choice 2), with a = 6.2312 Å, b = 6.2312 Å, c = 3.4446 Å, α = 90.00°, β = 90.00° and γ = 90.00°. The inequivalent atoms are Sm at (0.0000, 0.2500, 0.3750).

Entry 20:
Computed, not measured: Sm after structural relaxation at the PBE-GGA level of DFT.

For the formation energy, the calculation gives 7 meV/atom. Its total magnetization is 0.01 Bohr magnetons per cell. For the distance to the lowest polymorph of the same formula, the calculation gives 0.007 eV/atom.

It has space group P3_121 (No. 152), with a = 3.6089 Å, b = 3.6089 Å, c = 8.8245 Å, α = 90.00°, β = 90.00° and γ = 120.00°. The inequivalent atoms are Sm at (0.0000, 0.3283, 0.1667).